Entry 1:
Compound: PmPt5
Source: Alexandria
Functional: GGA-PBE
Structure: relaxed

Geometry as POSCAR:
```
PmPt5
1.0
2.537 -4.493 0.000
2.537 4.493 0.000
-1.675 0.000 4.652
Pm Pt
1 5
Cartesian
0.000 0.000 0.000
1.700 2.831 2.326
2.537 1.469 0.000
1.700 0.000 2.326
2.537 -1.469 0.000
1.700 -2.831 2.326
```

For the density of states at the Fermi level, the calculation gives 0.9842 states/eV per atom. The volume comes out at 17.67 A^3/atom. Its formation energy is -0.511 eV per atom. The total energy is -0.23288 hartree per atom.



Entry 2:
Compound: PmPt5
Source: Alexandria
Functional: GGA-PBE
Structure: relaxed

Geometry as POSCAR:
```
PmPt5
1.0
2.061 -6.252 0.000
2.061 6.252 0.000
0.000 0.000 4.077
Pm Pt
1 5
Cartesian
0.000 0.000 0.000
2.061 4.064 2.039
2.061 2.096 0.000
2.061 0.000 2.039
2.061 -2.096 0.000
2.061 -4.064 2.039
```

For the density of states at the Fermi level, the calculation gives 1.1250 states/eV per atom. The volume comes out at 17.51 A^3/atom. Its formation energy is -0.550 eV per atom. The total energy is -0.23432 hartree per atom.



Entry 3:
Compound: Pm3Pt4
Source: Alexandria
Functional: GGA-PBE
Structure: relaxed

Geometry as POSCAR:
```
Pm3Pt4
1.0
6.800 3.926 1.941
-6.800 3.926 1.941
0.000 -7.852 1.941
Pm Pt
6 8
Cartesian
-2.559 -0.500 1.388
1.713 -1.966 1.388
0.847 2.466 1.388
-0.847 -2.466 4.435
-1.713 1.966 4.435
2.559 0.500 4.435
0.000 0.000 0.000
-1.121 -3.237 1.622
-2.243 2.590 1.622
-3.364 -0.648 4.201
0.000 0.000 2.911
3.364 0.648 1.622
2.243 -2.590 4.201
1.121 3.237 4.201
```

For the density of states at the Fermi level, the calculation gives 0.3450 states/eV per atom. The volume comes out at 22.21 A^3/atom. The value obtained for the relative energy among the computed polymorphs is 0 meV per atom. Its formation energy is -1.134 eV per atom. The total energy is -0.24336 hartree per atom.



Entry 4:
Compound: Pm3Pt4
Source: Alexandria
Functional: GGA-PBE
Structure: relaxed

Geometry as POSCAR:
```
Pm3Pt4
1.0
2.014 -5.311 0.000
2.014 5.311 0.000
0.000 0.000 14.847
Pm Pt
6 8
Cartesian
2.014 4.629 11.136
2.014 1.735 8.874
2.014 1.735 13.397
2.014 -1.735 1.450
2.014 -1.735 5.973
2.014 -4.629 3.712
0.000 0.000 0.000
0.000 0.000 7.424
2.014 3.079 3.712
2.014 1.283 1.550
2.014 1.283 5.873
2.014 -1.283 8.974
2.014 -1.283 13.297
2.014 -3.079 11.136
```

For the density of states at the Fermi level, the calculation gives 0.4972 states/eV per atom. The volume comes out at 22.68 A^3/atom. The value obtained for the relative energy among the computed polymorphs is 28 meV per atom. Its formation energy is -1.106 eV per atom. The total energy is -0.24233 hartree per atom.



Entry 5:
Compound: Pm3Pt
Source: Alexandria
Functional: GGA-PBE
Structure: relaxed

Geometry as POSCAR:
```
Pm3Pt
1.0
-1.893 2.726 5.587
1.893 -2.726 5.587
1.893 2.726 -5.587
Pm Pt
3 1
Cartesian
0.000 0.000 0.000
1.893 0.000 3.329
0.000 2.726 2.258
0.000 0.000 5.587
```

For the density of states at the Fermi level, the calculation gives 1.0938 states/eV per atom. The volume comes out at 28.84 A^3/atom. The value obtained for the relative energy among the computed polymorphs is 48 meV per atom. Its formation energy is -0.527 eV per atom. The total energy is -0.20580 hartree per atom.



Entry 6:
Compound: Pm3Pt
Source: Alexandria
Functional: GGA-PBE
Structure: relaxed

Geometry as POSCAR:
```
Pm3Pt
1.0
3.718 0.000 0.000
0.000 3.737 0.000
0.000 0.000 9.302
Pm Pt
3 1
Cartesian
0.000 0.000 0.000
0.000 1.868 3.198
1.859 1.868 6.695
1.859 0.000 4.450
```

For the density of states at the Fermi level, the calculation gives 1.2493 states/eV per atom. The volume comes out at 32.31 A^3/atom. The value obtained for the relative energy among the computed polymorphs is 217 meV per atom. Its formation energy is -0.358 eV per atom. The total energy is -0.19958 hartree per atom.



Entry 7:
Compound: PmPuPt2
Source: Alexandria
Functional: GGA-PBE
Structure: relaxed

Geometry as POSCAR:
```
PmPuPt2
1.0
0.000 3.551 3.551
3.551 0.000 3.551
3.551 3.551 0.000
Pm Pu Pt
1 1 2
Cartesian
0.000 0.000 0.000
3.551 3.551 3.551
1.775 1.775 1.775
5.326 5.326 5.326
```

For the density of states at the Fermi level, the calculation gives 3.1137 states/eV per atom. The volume comes out at 22.39 A^3/atom. The value obtained for the relative energy among the computed polymorphs is 87 meV per atom. Its formation energy is -0.886 eV per atom. The total energy is -0.31889 hartree per atom.



Entry 8:
Compound: Pm12Pu3Pt5
Source: Alexandria
Functional: GGA-PBE
Structure: relaxed

Geometry as POSCAR:
```
Pm12Pu3Pt5
1.0
-8.890 8.890 8.890
8.890 -8.890 8.890
8.890 8.890 -8.890
Pm Pu Pt
48 12 20
Cartesian
2.552 -0.592 1.173
10.783 5.618 -5.037
8.298 -1.173 2.552
13.926 -1.893 3.272
11.442 0.592 1.173
10.783 -3.272 5.037
1.173 2.552 -0.592
12.161 3.853 -1.893
5.618 5.037 -1.893
7.717 2.552 0.592
-0.592 1.173 2.552
5.037 -1.893 5.618
8.298 7.717 -2.552
5.037 1.893 3.272
7.717 -2.552 8.298
5.618 -5.037 10.783
3.272 5.037 1.893
10.063 6.338 0.592
2.552 8.298 -1.173
10.783 3.272 3.853
5.037 10.783 -3.272
8.298 1.173 6.338
1.893 3.272 5.037
2.552 0.592 7.717
6.338 8.298 1.173
6.997 5.618 3.853
0.592 7.717 2.552
3.853 -1.893 12.161
-1.893 5.618 5.037
6.338 0.592 10.063
-1.173 2.552 8.298
5.618 3.853 6.997
3.272 13.926 -1.893
1.173 11.442 0.592
3.853 6.997 5.618
0.592 1.173 11.442
3.853 10.783 3.272
9.482 7.717 6.338
1.173 6.338 8.298
3.272 3.853 10.783
-3.272 5.037 10.783
7.717 6.338 9.482
-1.893 12.161 3.853
-2.552 8.298 7.717
-5.037 10.783 5.618
0.592 10.063 6.338
-1.893 3.272 13.926
6.338 9.482 7.717
4.445 2.222 0.000
8.890 4.445 -2.222
2.222 0.000 4.445
11.112 0.000 4.445
0.000 4.445 2.222
4.445 -2.222 8.890
4.445 11.112 0.000
8.890 4.445 6.667
-2.222 8.890 4.445
6.667 8.890 4.445
0.000 4.445 11.112
4.445 6.667 8.890
0.000 0.000 0.000
4.445 4.445 -4.445
4.445 -4.445 4.445
8.890 0.000 0.000
13.335 2.222 0.000
8.890 -4.445 6.667
6.667 8.890 -4.445
6.667 0.000 4.445
4.445 6.667 0.000
8.890 4.445 2.222
-4.445 4.445 4.445
0.000 8.890 0.000
0.000 0.000 8.890
4.445 4.445 4.445
0.000 4.445 6.667
4.445 2.222 8.890
2.222 8.890 4.445
2.222 0.000 13.335
0.000 13.335 2.222
-4.445 6.667 8.890
```

For the density of states at the Fermi level, the calculation gives 2.6862 states/eV per atom. The volume comes out at 35.13 A^3/atom. Its formation energy is -0.015 eV per atom. The total energy is -0.23982 hartree per atom.